{
  "formula": "Zr2TcPt",
  "functional": "PBE-GGA",
  "state": "relaxed",
  "cell": [[-2.9014, -7.3715, -4.3800], [0.1159, -8.1825, -3.8697], [-2.0557, -8.6660, -1.6175]],
  "species": ["Zr", "Zr", "Tc", "Pt"],
  "frac_coords": [[0.0099, 0.0099, 0.0099], [0.2438, 0.2438, 0.2438], [0.7495, 0.7495, 0.7495], [0.4968, 0.4968, 0.4968]],
  "delta_e_f_kj_per_mol_atoms": 1.55,
  "density_g_cm3": 10.26
}